Compound: Mg2MnP2O8
Source: Alexandria
Functional: PBE+U
Structure: relaxed

a = 5.139 Å, b = 7.832 Å, c = 8.525 Å
α = 90.00°, β = 90.00°, γ = 93.68°
Each line ends with the local moment (μB).
Element x y z (fractional)
Mg 0.409 0.892 0.641  0.00
Mg 0.909 0.392 0.859  0.00
Mg 0.591 0.108 0.359  0.00
Mg 0.091 0.608 0.141  0.00
Mn 0.000 0.500 0.500  4.67
Mn 0.500 0.000 0.000  4.67
P 0.470 0.294 0.698  0.01
P 0.970 0.794 0.802  0.01
P 0.530 0.706 0.302  0.01
P 0.030 0.206 0.198  0.01
O 0.676 0.439 0.652  0.02
O 0.176 0.939 0.848  0.02
O 0.324 0.561 0.348  0.02
O 0.824 0.061 0.152  0.02
O 0.194 0.361 0.706  0.01
O 0.694 0.861 0.794  0.01
O 0.806 0.639 0.294  0.01
O 0.306 0.139 0.206  0.01
O 0.569 0.235 0.862  0.02
O 0.069 0.735 0.638  0.02
O 0.431 0.765 0.138  0.02
O 0.931 0.265 0.362  0.02
O 0.467 0.143 0.580  0.00
O 0.967 0.643 0.920  0.00
O 0.533 0.857 0.420  0.00
O 0.033 0.357 0.080  0.00

magnetic moment: 5.00 μB per formula unit
uncorrected energy: -7.17 eV per atom
crystal system: monoclinic